1.
# ZnNi2Ir (PBE, optimized geometry)
data_ZnNi2Ir
_chemical_formula_sum 'Zn2 Ni4 Ir2'
_cell_length_a 3.730
_cell_length_b 3.730
_cell_length_c 7.211
_cell_angle_alpha 90.00
_cell_angle_beta 90.00
_cell_angle_gamma 90.00
_space_group_name_H-M_alt 'I 4/m m m'
_space_group_IT_number 139
_space_group_name_Hall '-I 4 2'
loop_
_atom_site_label
_atom_site_fract_x
_atom_site_fract_y
_atom_site_fract_z
Zn1 0.000 0.000 0.000
Ni1 0.000 0.500 0.250
Ir1 0.000 0.000 0.500
# - E_form (eV/f.u.) = -0.2



2.
# NiIr2Br (PBE, optimized geometry)
data_NiIr2Br
_chemical_formula_sum 'Ni2 Ir4 Br2'
_cell_length_a 4.038
_cell_length_b 4.038
_cell_length_c 7.288
_cell_angle_alpha 90.00
_cell_angle_beta 90.00
_cell_angle_gamma 90.00
_space_group_name_H-M_alt 'I 4/m m m'
_space_group_IT_number 139
_space_group_name_Hall '-I 4 2'
loop_
_atom_site_label
_atom_site_fract_x
_atom_site_fract_y
_atom_site_fract_z
Ni1 0.000 0.000 0.000
Ir1 0.000 0.500 0.250
Br1 0.000 0.000 0.500
# - formation energy (no corrections) (eV per atom) = 1.003